VASP calculation (PBE) on TaBeO2 after structural relaxation.

Calculated values
ΔE_f (raw)	-6.8	eV per formula unit
D(E_F)	1.03	states/eV per cell
energy	-32.32	eV for the cell shown
total magnetic moment	0.00	μB per formula unit

```
TaBeO2
1.0
1.4488 0.8365 5.7254
-1.4488 0.8365 5.7254
0.0000 -1.6730 5.7254
Ta Be O
1 1 2
direct
0.0000 0.0000 0.0000 Ta
0.5000 0.5000 0.5000 Be
0.1127 0.1127 0.1127 O
0.8873 0.8873 0.8873 O
```